VASP calculation (PBE) on Y3AlAu after structural relaxation.

a b c (Å): 5.476 5.476 5.476
angles (deg): 90.00 90.00 90.00
Fractional positions:
Y  0.000  0.500  0.000
Y  0.000  0.000  0.500
Y  0.500  0.000  0.000
Au  0.000  0.000  0.000
Al  0.500  0.500  0.500

Output
Electronic total energy ... -5.254 eV/atom
Space-group type ... Pm-3m, No. 221